First-principles (PBE) data for MgTa after structural relaxation, as listed in Alexandria via LeMat-Bulk.

- Raw total energy: -25.8 eV/cell
- Formation energy: 0.2780 eV/atom
- Magnetization: 0.00 μB per cell
- Space-group type: C2/m, No. 12

Cell lengths 5.422, 5.422, 5.451 Å; angles 112.39, 112.39, 31.43 degrees
Fractional coordinates of all 4 atoms:
Mg: 0.122 0.122 0.456
Mg: 0.878 0.878 0.544
Ta: 0.372 0.372 0.034
Ta: 0.628 0.628 0.966